VASP calculation (PBE-GGA) on crystalline FeRe at its relaxed geometry.

Calculated values
**Magnetic moment**: 4.84 Bohr magnetons per cell
**Density**: 14.81 g/cm³
**Fermi-level density of states**: 0.923 states/eV/atom
**Energy of formation from the pure elements**: 0.25 eV per formula unit
**SG**: Fd-3m (227)

Cell lengths 4.2503, 4.2503, 4.2503 Å; angles 60.00, 60.00, 60.00 degrees
Closest atoms and distances in Å follow each position.
Element x y z (fractional)
Fe 0.1250 0.1250 0.1250  4 Re 2.60, 4 Fe 2.60
Fe 0.8750 0.8750 0.8750  4 Fe 2.60, 4 Re 2.60
Re 0.3750 0.3750 0.3750  4 Re 2.60, 4 Fe 2.60
Re 0.6250 0.6250 0.6250  4 Fe 2.60, 4 Re 2.60